P | Compound: AlRuI2O
Source: the Alexandria database
Functional: PBE
Structure: relaxed

The space group is P4/mmm (No. 123) and the conventional cell measures 5.678, 5.678 and 3.438 Å, with angles of 90.00, 90.00 and 90.00 degrees. The inequivalent atoms are Al at (0.000, 0.000, 0.000), Ru at (0.500, 0.500, 0.500), I at (0.000, 0.500, 0.000) and O at (0.000, 0.000, 0.500).

The value obtained for the magnetic moment is 2.8 Bohr magnetons per cell.

=====

Q | Compound: AlRuI2O
Source: the Alexandria database
Functional: PBE
Structure: relaxed

The space group is P4/mmm (No. 123) and the conventional cell measures 5.651, 5.651 and 3.767 Å, with angles of 90.00, 90.00 and 90.00 degrees. The inequivalent atoms are Al at (0.000, 0.000, 0.000), Ru at (0.500, 0.500, 0.500), I at (0.000, 0.500, 0.500) and O at (0.500, 0.500, 0.000).

The value obtained for the magnetic moment is 0.2 Bohr magnetons per cell.

=====

Tell me which of them is the most stable. Sure, it is P.

=====

P | Compound: AlSbI2O
Source: the Alexandria database
Functional: PBE
Structure: relaxed

The space group is P4/mmm (No. 123) and the conventional cell measures 6.343, 6.343 and 4.028 Å, with angles of 90.00, 90.00 and 90.00 degrees. The inequivalent atoms are Al at (0.000, 0.000, 0.000), Sb at (0.500, 0.500, 0.000), I at (0.000, 0.500, 0.500) and O at (0.500, 0.500, 0.500).

The value obtained for the magnetic moment is 0.0 Bohr magnetons per cell.

=====

Q | Compound: AlSbI2O
Source: the Alexandria database
Functional: PBE
Structure: relaxed

The space group is P4/mmm (No. 123) and the conventional cell measures 6.202, 6.202 and 4.127 Å, with angles of 90.00, 90.00 and 90.00 degrees. The inequivalent atoms are Al at (0.000, 0.000, 0.000), Sb at (0.500, 0.500, 0.500), I at (0.000, 0.500, 0.500) and O at (0.500, 0.500, 0.000).

The value obtained for the magnetic moment is 0.0 Bohr magnetons per cell.

=====

R | Compound: AlSbI2O
Source: the Alexandria database
Functional: PBE
Structure: relaxed

The space group is P4/mmm (No. 123) and the conventional cell measures 5.905, 5.905 and 3.507 Å, with angles of 90.00, 90.00 and 90.00 degrees. The inequivalent atoms are Al at (0.000, 0.000, 0.000), Sb at (0.500, 0.500, 0.500), I at (0.000, 0.500, 0.000) and O at (0.000, 0.000, 0.500).

The value obtained for the magnetic moment is 0.0 Bohr magnetons per cell.

=====

Tell me which of them is the most stable. Sure, it is R.

=====

P | Compound: AlSb2IO
Source: the Alexandria database
Functional: PBE
Structure: relaxed

The space group is P4/mmm (No. 123) and the conventional cell measures 4.515, 4.515 and 6.700 Å, with angles of 90.00, 90.00 and 90.00 degrees. The inequivalent atoms are Al at (0.000, 0.000, 0.000), Sb at (0.000, 0.500, 0.500), I at (0.500, 0.500, 0.000) and O at (0.500, 0.500, 0.500).

The value obtained for the magnetic moment is 0.0 Bohr magnetons per cell.

=====

Q | Compound: AlSb2IO
Source: the Alexandria database
Functional: PBE
Structure: relaxed

The space group is P4/mmm (No. 123) and the conventional cell measures 5.288, 5.288 and 5.269 Å, with angles of 90.00, 90.00 and 90.00 degrees. The inequivalent atoms are Al at (0.000, 0.000, 0.000), Sb at (0.000, 0.500, 0.000), I at (0.000, 0.000, 0.500) and O at (0.500, 0.500, 0.500).

The value obtained for the magnetic moment is 0.0 Bohr magnetons per cell.

=====

Tell me which of them is the most stable. Sure, it is P.

=====

P | Compound: ScAlI2O
Source: the Alexandria database
Functional: PBE
Structure: relaxed

The space group is P4/mmm (No. 123) and the conventional cell measures 6.013, 6.013 and 3.909 Å, with angles of 90.00, 90.00 and 90.00 degrees. The inequivalent atoms are Sc at (0.000, 0.000, 0.000), Al at (0.500, 0.500, 0.500), I at (0.000, 0.500, 0.000) and O at (0.000, 0.000, 0.500).

The value obtained for the magnetic moment is 0.0 Bohr magnetons per cell.

=====

Q | Compound: ScAlI2O
Source: the Alexandria database
Functional: PBE
Structure: relaxed

The space group is P4/mmm (No. 123) and the conventional cell measures 5.801, 5.801 and 3.513 Å, with angles of 90.00, 90.00 and 90.00 degrees. The inequivalent atoms are Sc at (0.000, 0.000, 0.000), Al at (0.500, 0.500, 0.500), I at (0.000, 0.500, 0.500) and O at (0.500, 0.500, 0.000).

The value obtained for the magnetic moment is 0.9 Bohr magnetons per cell.

=====

Tell me which of them is the most stable. Sure, it is P.

=====

P | Compound: AlSeI2O
Source: the Alexandria database
Functional: PBE
Structure: relaxed

The space group is P4/mmm (No. 123) and the conventional cell measures 5.890, 5.890 and 3.412 Å, with angles of 90.00, 90.00 and 90.00 degrees. The inequivalent atoms are Al at (0.000, 0.000, 0.000), Se at (0.500, 0.500, 0.500), I at (0.000, 0.500, 0.000) and O at (0.000, 0.000, 0.500).

The value obtained for the magnetic moment is 0.0 Bohr magnetons per cell.

=====

Q | Compound: AlSeI2O
Source: the Alexandria database
Functional: PBE
Structure: relaxed

The space group is P4/mmm (No. 123) and the conventional cell measures 5.997, 5.997 and 3.852 Å, with angles of 90.00, 90.00 and 90.00 degrees. The inequivalent atoms are Al at (0.000, 0.000, 0.000), Se at (0.500, 0.500, 0.500), I at (0.000, 0.500, 0.500) and O at (0.500, 0.500, 0.000).

The value obtained for the magnetic moment is 0.0 Bohr magnetons per cell.

=====

Tell me which of them is the most stable. Sure, it is P.

=====

P | Compound: AlSiIO2
Source: the Alexandria database
Functional: PBE
Structure: relaxed

The space group is P4/mmm (No. 123) and the conventional cell measures 3.819, 3.819 and 5.603 Å, with angles of 90.00, 90.00 and 90.00 degrees. The inequivalent atoms are Al at (0.000, 0.000, 0.000), Si at (0.500, 0.500, 0.500), I at (0.000, 0.000, 0.500) and O at (0.000, 0.500, 0.000).

The value obtained for the magnetic moment is 0.0 Bohr magnetons per cell.

=====

Q | Compound: AlSiIO2
Source: the Alexandria database
Functional: PBE
Structure: relaxed

The space group is P4/mmm (No. 123) and the conventional cell measures 3.789, 3.789 and 5.503 Å, with angles of 90.00, 90.00 and 90.00 degrees. The inequivalent atoms are Al at (0.000, 0.000, 0.000), Si at (0.500, 0.500, 0.500), I at (0.500, 0.500, 0.000) and O at (0.000, 0.500, 0.500).

The value obtained for the magnetic moment is 0.0 Bohr magnetons per cell.

=====

Tell me which of them is the most stable. Sure, it is P.

=====

P | Compound: AlSnIO2
Source: the Alexandria database
Functional: PBE
Structure: relaxed

The space group is P4/mmm (No. 123) and the conventional cell measures 4.068, 4.068 and 5.335 Å, with angles of 90.00, 90.00 and 90.00 degrees. The inequivalent atoms are Al at (0.000, 0.000, 0.000), Sn at (0.500, 0.500, 0.500), I at (0.000, 0.000, 0.500) and O at (0.000, 0.500, 0.000).

The value obtained for the magnetic moment is 0.0 Bohr magnetons per cell.

=====

Q | Compound: AlSnIO2
Source: the Alexandria database
Functional: PBE
Structure: relaxed

The space group is P4/mmm (No. 123) and the conventional cell measures 4.140, 4.140 and 6.260 Å, with angles of 90.00, 90.00 and 90.00 degrees. The inequivalent atoms are Al at (0.000, 0.000, 0.000), Sn at (0.500, 0.500, 0.500), I at (0.500, 0.500, 0.000) and O at (0.000, 0.500, 0.500).

The value obtained for the magnetic moment is 0.0 Bohr magnetons per cell.

=====

Tell me which of them is the most stable. Sure, it is P.

=====

P | Compound: AlTe2IO
Source: the Alexandria database
Functional: PBE
Structure: relaxed

The space group is P4/mmm (No. 123) and the conventional cell measures 5.313, 5.313 and 5.307 Å, with angles of 90.00, 90.00 and 90.00 degrees. The inequivalent atoms are Al at (0.000, 0.000, 0.000), Te at (0.000, 0.500, 0.000), I at (0.000, 0.000, 0.500) and O at (0.500, 0.500, 0.500).

The value obtained for the magnetic moment is 0.0 Bohr magnetons per cell.

=====

Q | Compound: AlTe2IO
Source: the Alexandria database
Functional: PBE
Structure: relaxed

The space group is P4/mmm (No. 123) and the conventional cell measures 4.489, 4.489 and 7.044 Å, with angles of 90.00, 90.00 and 90.00 degrees. The inequivalent atoms are Al at (0.000, 0.000, 0.000), Te at (0.000, 0.500, 0.500), I at (0.500, 0.500, 0.000) and O at (0.500, 0.500, 0.500).

The value obtained for the magnetic moment is 0.0 Bohr magnetons per cell.

=====

Tell me which of them is the most stable. Sure, it is Q.